No. 1
MgCdRu2: relaxed, PBE.

Computed properties:
For the spin magnetization, the calculation gives 0.525 μB/atom. The volume is 65.3 Å³/cell. The space group is Fm-3m, No. 225. The value obtained for the calculated formation energy is 386 meV per atom.

```
MgCdRu2
1.0
-0.523 -1.904 4.066
-3.663 -2.501 0.870
0.380 -4.480 0.463
Ru Mg Cd
2 1 1
Direct
0.250 0.250 0.250
0.750 0.750 0.750
0.000 0.000 0.000
0.500 0.500 0.500
```

No. 2
Mg4Cd10Ru: relaxed, PBE.

Computed properties:
For the spin magnetization, the calculation gives 0.000 μB/atom. The volume is 330.8 Å³/cell. The space group is Immm, No. 71. The value obtained for the calculated formation energy is 5 meV per atom.

```
Mg4Cd10Ru
1.0
5.853 0.000 2.643
3.314 7.281 0.464
-0.050 -1.243 7.915
Mg Cd Ru
4 10 1
Direct
0.500 0.706 0.293
0.000 0.277 0.723
0.000 0.723 0.277
0.500 0.294 0.707
0.239 0.500 0.500
0.547 0.321 0.071
0.061 0.070 0.321
0.453 0.930 0.679
0.939 0.679 0.929
0.453 0.679 0.929
0.761 0.500 0.500
0.061 0.321 0.071
0.547 0.070 0.321
0.939 0.930 0.679
0.000 0.000 0.000
```

No. 3
MgCdRu2: relaxed, PBE.

Computed properties:
For the spin magnetization, the calculation gives 0.075 μB/atom. The volume is 66.2 Å³/cell. The space group is Imm2, No. 44. The value obtained for the calculated formation energy is 220 meV per atom.

```
MgCdRu2
1.0
5.505 0.003 -0.004
2.708 4.793 0.004
-3.510 -3.420 2.508
Cd Mg Ru
1 1 2
Direct
0.510 0.510 0.000
0.236 0.736 0.500
0.986 0.986 0.000
0.768 0.268 0.500
```

No. 4
MgCdRu2: relaxed, PBE.

Computed properties:
For the spin magnetization, the calculation gives 0.331 μB/atom. The volume is 65.0 Å³/cell. The space group is Cmmm, No. 65. The value obtained for the calculated formation energy is 325 meV per atom.

```
MgCdRu2
1.0
-1.419 0.985 -2.182
-1.604 -1.308 1.860
-1.315 7.900 4.422
Cd Mg Ru
1 1 2
Direct
0.500 0.500 0.250
0.500 0.500 0.750
0.000 0.000 0.991
0.000 0.000 0.509
```

No. 5
MgCd2Ru: relaxed, PBE.

Computed properties:
For the spin magnetization, the calculation gives 0.158 μB/atom. The volume is 75.7 Å³/cell. The space group is R-3m, No. 166. The value obtained for the calculated formation energy is 250 meV per atom.

```
MgCd2Ru
1.0
9.874 0.015 0.009
9.414 2.979 0.009
9.414 1.461 2.596
Cd Mg Ru
2 1 1
Direct
0.005 0.005 0.005
0.495 0.495 0.495
0.250 0.250 0.250
0.750 0.750 0.750
```

No. 6
MgCd2Ru: relaxed, PBE.

Computed properties:
For the spin magnetization, the calculation gives 0.180 μB/atom. The volume is 160.8 Å³/cell. The space group is I-42d, No. 122. The value obtained for the calculated formation energy is 395 meV per atom.

```
MgCd2Ru
1.0
-1.115 3.856 -0.167
-3.320 -0.870 2.088
2.663 3.273 9.463
Ru Mg Cd
2 2 4
Direct
0.000 0.000 0.000
0.750 0.250 0.500
0.500 0.500 0.000
0.250 0.750 0.500
0.637 0.125 0.250
0.113 0.625 0.250
0.375 0.363 0.750
0.875 0.887 0.750
```

No. 7
Mg2CdRu: relaxed, PBE.

Computed properties:
For the spin magnetization, the calculation gives 0.000 μB/atom. The volume is 73.0 Å³/cell. The space group is P4mm, No. 99. The value obtained for the calculated formation energy is 84 meV per atom.

```
Mg2CdRu
1.0
3.404 0.000 0.000
0.000 3.404 0.000
0.000 0.000 6.304
Cd Mg Ru
1 2 1
Direct
0.500 0.500 0.729
0.000 0.000 0.004
0.500 0.500 0.288
0.000 0.000 0.479
```

No. 8
Mg2CdRu: relaxed, PBE.

Computed properties:
For the spin magnetization, the calculation gives 0.000 μB/atom. The volume is 70.9 Å³/cell. The space group is C2/m, No. 12. The value obtained for the calculated formation energy is 24 meV per atom.

```
Mg2CdRu
1.0
-3.478 -0.367 -3.916
-3.733 -3.235 -1.781
-4.275 1.132 1.011
Cd Mg Ru
1 2 1
Direct
0.750 0.750 0.750
0.988 0.988 0.012
0.512 0.512 0.488
0.250 0.250 0.250
```

Copy entry 1 word for word.
MgCdRu2: relaxed, PBE.

Computed properties:
For the spin magnetization, the calculation gives 0.525 μB/atom. The volume is 65.3 Å³/cell. The space group is Fm-3m, No. 225. The value obtained for the calculated formation energy is 386 meV per atom.

```
MgCdRu2
1.0
-0.523 -1.904 4.066
-3.663 -2.501 0.870
0.380 -4.480 0.463
Ru Mg Cd
2 1 1
Direct
0.250 0.250 0.250
0.750 0.750 0.750
0.000 0.000 0.000
0.500 0.500 0.500
```